Computed, not measured: a relaxed structure of Ac14SmTh at the PBE-GGA level of DFT.

For the final energy, the calculation gives -4.304 eV per atom. As for the calculated density: 8.5 g/cm³. For the energy relative to the elements, the calculation gives 0.05 eV/atom. The calculated volume is 1392.8 Å³ per cell. As for the spin magnetization: 0.0 μB per cell.

Cell lengths 11.2422, 11.1301, 11.1311 Å; angles 90.00, 90.00, 90.00 degrees
Last column: nearest neighbours and their distance in Å.
Space group Amm2 (No. 38)
Inequivalent atoms, fractional coordinates:
Ac: 0.0000 0.0000 0.0000 x2  12 Ac 3.93-4.01
Ac: 0.0000 0.0000 0.4994 x2  12 Ac 3.93-4.06
Ac: 0.0000 0.2492 0.7496 x4  12 Ac 3.93-4.03
Ac: 0.2580 0.0000 0.2464 x4  1 Th 3.87, 10 Ac 3.88-4.04, 1 Sm 3.92
Ac: 0.2592 0.0000 0.7531 x4  1 Th 3.85, 10 Ac 3.88-4.06, 1 Sm 3.91
Ac: 0.2587 0.2467 0.9997 x8  1 Th 3.86, 10 Ac 3.88-4.05, 1 Sm 3.91
Ac: 0.5000 0.2491 0.2497 x4  8 Ac 3.89, 2 Sm 3.93-3.94, 2 Th 3.93-3.94
Sm: 0.5000 0.0000 0.4998 x2  12 Ac 3.91-3.94
Th: 0.5000 0.0000 0.9995 x2  12 Ac 3.85-3.94